(1)
Below is a relaxed CsMoS3 crystal, with properties calculated at the GGA-PBE level. Values from VASP.

The structure in Quantum ESPRESSO input format:
```
&SYSTEM
  ibrav = 0, nat = 5, ntyp = 3
/
ATOMIC_SPECIES
Cs 132.91 Cs.upf
Mo 95.94 Mo.upf
S 32.06 S.upf
CELL_PARAMETERS angstrom
5.412 0.000 0.000
0.000 5.412 0.000
0.000 0.000 5.412
ATOMIC_POSITIONS crystal
Cs 0.000 0.000 0.000
Mo 0.500 0.500 0.500
S 0.000 0.000 0.500
S 0.000 0.500 0.000
S 0.500 0.000 0.000
```

Summary:
formation energy (no corrections)	1.8605	eV/atom
DOS at the Fermi energy	1.561	states/eV/atom
total moment	0.72	μB/atom
excess energy over the best structure of this formula in the dataset	2507	meV per atom

=====

(2)
Below is a relaxed CsNb3Ni crystal, with properties calculated at the GGA-PBE level. Values from VASP.

The structure in Quantum ESPRESSO input format:
```
&SYSTEM
  ibrav = 0, nat = 5, ntyp = 3
/
ATOMIC_SPECIES
Cs 132.91 Cs.upf
Nb 92.91 Nb.upf
Ni 58.69 Ni.upf
CELL_PARAMETERS angstrom
4.848 0.000 0.000
0.000 4.848 0.000
0.000 0.000 4.848
ATOMIC_POSITIONS crystal
Cs 0.000 0.000 0.000
Nb 0.000 0.500 0.500
Nb 0.500 0.000 0.500
Nb 0.500 0.500 0.000
Ni 0.500 0.500 0.500
```

Summary:
DOS at the Fermi energy	1.788	states/eV/atom
total moment	0.00	μB/atom
energy of formation from the pure elements	1443.6	meV per atom

=====

(3)
Below is a relaxed NaRe3Ir crystal, with properties calculated at the GGA-PBE level. Values from VASP.

The structure in Quantum ESPRESSO input format:
```
&SYSTEM
  ibrav = 0, nat = 5, ntyp = 3
/
ATOMIC_SPECIES
Na 22.99 Na.upf
Re 186.21 Re.upf
Ir 192.22 Ir.upf
CELL_PARAMETERS angstrom
4.793 0.000 0.000
0.000 4.793 0.000
0.000 0.000 4.793
ATOMIC_POSITIONS crystal
Na 0.000 0.000 0.000
Re 0.000 0.500 0.500
Re 0.500 0.000 0.500
Re 0.500 0.500 0.000
Ir 0.500 0.500 0.500
```

Summary:
DOS at the Fermi energy	1.332	states/eV/atom
total moment	0.44	μB/atom
excess energy over the best structure of this formula in the dataset	0	meV per atom
energy of formation from the pure elements	2103.3	meV per atom

=====

(4)
Below is a relaxed Ca8PtN2 crystal, with properties calculated at the GGA-PBE level. Values from VASP.

The structure in Quantum ESPRESSO input format:
```
&SYSTEM
  ibrav = 0, nat = 11, ntyp = 3
/
ATOMIC_SPECIES
Ca 40.08 Ca.upf
Pt 195.08 Pt.upf
N 14.01 N.upf
CELL_PARAMETERS angstrom
6.569 -3.728 0.000
6.569 3.728 0.000
-1.823 0.000 6.306
ATOMIC_POSITIONS crystal
Ca 0.114 0.602 0.217
Ca 0.135 0.135 0.228
Ca 0.364 0.364 0.769
Ca 0.398 0.886 0.783
Ca 0.602 0.114 0.217
Ca 0.636 0.636 0.231
Ca 0.865 0.865 0.772
Ca 0.886 0.398 0.783
Pt 0.500 0.500 0.500
N 0.246 0.246 0.001
N 0.754 0.754 0.999
```

Summary:
formation energy (no corrections)	-0.5397	eV/atom
DOS at the Fermi energy	0.410	states/eV/atom
total moment	0.00	μB/atom